A plane-wave DFT calculation with PBE was carried out for crystalline LiCoSn2 at its relaxed geometry.

## Properties
The calculation puts the energy of formation from the pure elements at -0.035 eV/atom. The offset from the most stable computed form is 78 meV per atom. The calculation puts the uncorrected energy at -0.158 Ha/atom. The symmetry is No. 166.

Cell lengths 8.7226, 8.7226, 8.7226 Å; angles 21.45, 21.45, 21.45 degrees
Last column: nearest neighbours and their distance in Å.
Sites, in units of the cell vectors:
Li 0.0000 0.0000 0.0000  6 Sn 3.02, 6 Li 3.25
Co 0.5000 0.5000 0.5000  6 Sn 2.66
Sn 0.2407 0.2407 0.2407  3 Co 2.66
Sn 0.7593 0.7593 0.7593  3 Co 2.66

***

A plane-wave DFT calculation with PBE was carried out for crystalline CeGe2Pt2 at its relaxed geometry.

## Properties
The calculation puts the energy of formation from the pure elements at -0.811 eV/atom. The calculation puts the uncorrected energy at -0.230 Ha/atom. The symmetry is No. 139.

Cell lengths 5.8967, 5.8967, 5.8967 Å; angles 136.21, 136.21, 63.66 degrees
Last column: nearest neighbours and their distance in Å.
Sites, in units of the cell vectors:
Ce 0.0000 0.0000 0.0000  8 Pt 3.33, 8 Ge 3.35
Ge 0.3758 0.3758 0.0000  1 Ge 2.49, 4 Pt 2.53
Ge 0.6242 0.6242 0.0000  1 Ge 2.49, 4 Pt 2.53
Pt 0.2500 0.7500 0.5000  4 Ge 2.53
Pt 0.7500 0.2500 0.5000  4 Ge 2.53

***

A plane-wave DFT calculation with PBE was carried out for crystalline Na4SrCu3F12 at its relaxed geometry.

## Properties
The energy relative to the elements, uncorrected is -2.352 eV/atom. The calculation puts the uncorrected energy at -0.163 Ha/atom. The symmetry is No. 204.

Cell lengths 7.0029, 7.0029, 7.0029 Å; angles 109.47, 109.47, 109.47 degrees
Last column: nearest neighbours and their distance in Å.
Sites, in units of the cell vectors:
Na 0.0000 0.0000 0.5000  6 F 2.23
Na 0.0000 0.5000 0.0000  6 F 2.23
Na 0.5000 0.0000 0.0000  6 F 2.23
Na 0.5000 0.5000 0.5000  6 F 2.23
Sr 0.0000 0.0000 0.0000  12 F 2.87
Cu 0.0000 0.5000 0.5000  4 F 1.93
Cu 0.5000 0.0000 0.5000  4 F 1.93
Cu 0.5000 0.5000 0.0000  4 F 1.93
F 0.1548 0.4738 0.3190  1 Cu 1.93
F 0.1548 0.8358 0.6810  1 Cu 1.93
F 0.1642 0.3190 0.8452  1 Cu 1.93
F 0.3190 0.1548 0.4738  1 Cu 1.93
F 0.3190 0.8452 0.1642  1 Cu 1.93
F 0.4738 0.3190 0.1548  1 Cu 1.93
F 0.5262 0.6810 0.8452  1 Cu 1.93
F 0.6810 0.1548 0.8358  1 Cu 1.93
F 0.6810 0.8452 0.5262  1 Cu 1.93
F 0.8358 0.6810 0.1548  1 Cu 1.93
F 0.8452 0.1642 0.3190  1 Cu 1.93
F 0.8452 0.5262 0.6810  1 Cu 1.93

***

A plane-wave DFT calculation with PBE was carried out for crystalline NaGaPOs2 at its relaxed geometry.

## Properties
The calculation puts the energy of formation from the pure elements at 2.643 eV/atom. The calculation puts the uncorrected energy at -0.140 Ha/atom. The symmetry is No. 123.

Cell lengths 4.6367, 4.6367, 4.2976 Å; angles 90.00, 90.00, 90.00 degrees
Last column: nearest neighbours and their distance in Å.
Sites, in units of the cell vectors:
Na 0.0000 0.0000 0.0000  2 Ga 2.15, 4 Os 2.32
Ga 0.0000 0.0000 0.5000  2 Na 2.15
P 0.5000 0.5000 0.5000  8 Os 3.16, 4 Ga 3.28
Os 0.0000 0.5000 0.0000  2 Na 2.32
Os 0.5000 0.0000 0.0000  2 Na 2.32

***

What did the fourth record say?
A plane-wave DFT calculation with PBE was carried out for crystalline NaGaPOs2 at its relaxed geometry.

## Properties
The calculation puts the energy of formation from the pure elements at 2.643 eV/atom. The calculation puts the uncorrected energy at -0.140 Ha/atom. The symmetry is No. 123.

Cell lengths 4.6367, 4.6367, 4.2976 Å; angles 90.00, 90.00, 90.00 degrees
Last column: nearest neighbours and their distance in Å.
Sites, in units of the cell vectors:
Na 0.0000 0.0000 0.0000  2 Ga 2.15, 4 Os 2.32
Ga 0.0000 0.0000 0.5000  2 Na 2.15
P 0.5000 0.5000 0.5000  8 Os 3.16, 4 Ga 3.28
Os 0.0000 0.5000 0.0000  2 Na 2.32
Os 0.5000 0.0000 0.0000  2 Na 2.32

***

> What is the formula in the fourth record?

NaGaPOs2

***

Repeat the second record exactly.
A plane-wave DFT calculation with PBE was carried out for crystalline CeGe2Pt2 at its relaxed geometry.

## Properties
The calculation puts the energy of formation from the pure elements at -0.811 eV/atom. The calculation puts the uncorrected energy at -0.230 Ha/atom. The symmetry is No. 139.

Cell lengths 5.8967, 5.8967, 5.8967 Å; angles 136.21, 136.21, 63.66 degrees
Last column: nearest neighbours and their distance in Å.
Sites, in units of the cell vectors:
Ce 0.0000 0.0000 0.0000  8 Pt 3.33, 8 Ge 3.35
Ge 0.3758 0.3758 0.0000  1 Ge 2.49, 4 Pt 2.53
Ge 0.6242 0.6242 0.0000  1 Ge 2.49, 4 Pt 2.53
Pt 0.2500 0.7500 0.5000  4 Ge 2.53
Pt 0.7500 0.2500 0.5000  4 Ge 2.53